DFT (PBE-GGA) results for an optimized crystal structure of ScAl2Ag.

Summary:
Calculated density in g cm⁻³: 4.67
Energy of formation in kJ/mol of formula units: -77
Electronic total energy in eV per atom: -4.367

Cell: 3.2798 3.6508 6.1384 Å, 90.00 90.00 90.00°
Last column: nearest neighbours and their distance in Å.
Element x y z (fractional)
1 Sc 0.0000 0.0000 0.0000  6 Al 2.94-3.10, 4 Ag 2.98, 2 Sc 3.28
2 Al 0.0000 0.0000 0.5051  4 Ag 2.83, 4 Al 2.84, 2 Sc 3.04-3.10
3 Al 0.5000 0.5000 0.7364  1 Ag 2.83, 4 Al 2.84, 4 Sc 2.94
4 Ag 0.5000 0.5000 0.2760  5 Al 2.83, 4 Sc 2.98

DFT (PBE-GGA) results for an optimized crystal structure of NaAl10Ni3.

Summary:
Calculated density in g cm⁻³: 3.33
Energy of formation in kJ/mol of formula units: -315
Electronic total energy in eV per atom: -4.240

Cell: 8.7104 8.7104 8.7104 Å, 60.00 60.00 60.00°
Last column: nearest neighbours and their distance in Å.
Element x y z (fractional)
1 Na 0.2500 0.2500 0.2500  4 Al 2.98
2 Na 0.7500 0.7500 0.7500  4 Al 2.98
3 Al 0.0000 0.0000 0.3368  2 Ni 2.39
4 Al 0.0000 0.0000 0.6632  2 Ni 2.39
5 Al 0.0000 0.3368 0.0000  2 Ni 2.39
6 Al 0.0000 0.3368 0.6632  2 Ni 2.39
7 Al 0.0000 0.6632 0.0000  2 Ni 2.39
8 Al 0.0000 0.6632 0.3368  2 Ni 2.39
9 Al 0.1685 0.6105 0.6105  3 Ni 2.46, 3 Al 2.72
10 Al 0.3368 0.0000 0.0000  2 Ni 2.39
11 Al 0.3368 0.0000 0.6632  2 Ni 2.39
12 Al 0.3368 0.6632 0.0000  2 Ni 2.39
13 Al 0.3895 0.3895 0.3895  3 Ni 2.46, 3 Al 2.72
14 Al 0.3895 0.3895 0.8315  3 Ni 2.46, 3 Al 2.72
15 Al 0.3895 0.8315 0.3895  3 Ni 2.46, 3 Al 2.72
16 Al 0.6105 0.1685 0.6105  3 Ni 2.46, 3 Al 2.72
17 Al 0.6105 0.6105 0.1685  3 Ni 2.46, 3 Al 2.72
18 Al 0.6105 0.6105 0.6105  3 Ni 2.46, 3 Al 2.72
19 Al 0.6632 0.0000 0.0000  2 Ni 2.39
20 Al 0.6632 0.0000 0.3368  2 Ni 2.39
21 Al 0.6632 0.3368 0.0000  2 Ni 2.39
22 Al 0.8315 0.3895 0.3895  3 Ni 2.46, 3 Al 2.72
23 Ni 0.2655 0.2655 0.7345  8 Al 2.39-2.46
24 Ni 0.2655 0.7345 0.2655  8 Al 2.39-2.46
25 Ni 0.2655 0.7345 0.7345  8 Al 2.39-2.46
26 Ni 0.7345 0.2655 0.2655  8 Al 2.39-2.46
27 Ni 0.7345 0.2655 0.7345  8 Al 2.39-2.46
28 Ni 0.7345 0.7345 0.2655  8 Al 2.39-2.46

DFT (PBE-GGA) results for an optimized crystal structure of FeNiIr2.

Summary:
Calculated density in g cm⁻³: 15.85
Energy of formation in kJ/mol of formula units: 43
Energy above the most stable polymorph in this dataset in meV per atom: 152
Electronic total energy in eV per atom: -7.880

Cell: 5.0383 5.0383 5.0383 Å, 147.73 129.39 61.31°
Last column: nearest neighbours and their distance in Å.
Element x y z (fractional)
1 Fe 0.0000 0.0000 0.0000  2 Ni 2.41, 6 Ir 2.58-2.61
2 Ni 0.7731 0.2731 0.5000  2 Fe 2.41, 6 Ir 2.57
3 Ir 0.2538 0.7538 0.5000  4 Ni 2.57, 2 Fe 2.61, 4 Ir 2.73-2.80
4 Ir 0.5248 0.5248 0.0000  2 Ni 2.57, 4 Fe 2.58, 4 Ir 2.73-2.80

DFT (PBE-GGA) results for an optimized crystal structure of NdHfMgAl.

Summary:
Calculated density in g cm⁻³: 6.73
Energy of formation in kJ/mol of formula units: -29
Electronic total energy in eV per atom: -5.090

Cell: 5.0726 5.0726 5.0726 Å, 60.00 60.00 60.00°
Last column: nearest neighbours and their distance in Å.
Element x y z (fractional)
1 Nd 0.0000 0.0000 0.0000  4 Mg 3.11, 4 Al 3.11
2 Hf 0.5000 0.5000 0.5000  4 Al 3.11, 4 Mg 3.11
3 Mg 0.2500 0.2500 0.2500  4 Hf 3.11, 4 Nd 3.11
4 Al 0.7500 0.7500 0.7500  4 Hf 3.11, 4 Nd 3.11

DFT (PBE-GGA) results for an optimized crystal structure of SmDyZnAu.

Summary:
Calculated density in g cm⁻³: 10.02
Energy of formation in kJ/mol of formula units: -219
Energy above the most stable polymorph in this dataset in meV per atom: 16
Electronic total energy in eV per atom: -4.037

Cell: 5.1279 5.1279 5.1279 Å, 60.00 60.00 60.00°
Last column: nearest neighbours and their distance in Å.
Element x y z (fractional)
1 Sm 0.0000 0.0000 0.0000  4 Zn 3.14, 4 Au 3.14
2 Dy 0.5000 0.5000 0.5000  4 Zn 3.14, 4 Au 3.14
3 Zn 0.2500 0.2500 0.2500  4 Dy 3.14, 4 Sm 3.14
4 Au 0.7500 0.7500 0.7500  4 Dy 3.14, 4 Sm 3.14

DFT (PBE-GGA) results for an optimized crystal structure of Er6Zn5Rh.

Summary:
Calculated density in g cm⁻³: 9.19
Energy of formation in kJ/mol of formula units: -540
Electronic total energy in eV per atom: -3.891

Cell: 4.9641 7.0138 7.8354 Å, 90.00 108.38 90.00°
Last column: nearest neighbours and their distance in Å.
Element x y z (fractional)
1 Er 0.0000 0.2420 0.0000  2 Rh 3.01, 6 Zn 3.07-3.09
2 Er 0.0000 0.7580 0.0000  2 Rh 3.01, 6 Zn 3.07-3.09
3 Er 0.3377 0.2464 0.6756  1 Rh 2.97, 7 Zn 2.99-3.08
4 Er 0.3377 0.7536 0.6756  1 Rh 2.97, 7 Zn 2.99-3.08
5 Er 0.6623 0.2464 0.3244  1 Rh 2.97, 7 Zn 2.99-3.08
6 Er 0.6623 0.7536 0.3244  1 Rh 2.97, 7 Zn 2.99-3.08
7 Zn 0.1685 0.5000 0.3371  8 Er 3.05-3.09
8 Zn 0.1736 0.0000 0.3474  8 Er 2.99-3.09
9 Zn 0.5000 0.5000 0.0000  8 Er 3.00-3.07
10 Zn 0.8264 0.0000 0.6526  8 Er 2.99-3.09
11 Zn 0.8315 0.5000 0.6629  8 Er 3.05-3.09
12 Rh 0.5000 0.0000 0.0000  8 Er 2.97-3.01